Here is a relaxed structure of LuTlAu2 from the Open Quantum Materials Database. Energies are from PBE.

Unit cell a=6.9382 b=6.9382 c=6.9382 alpha=90.00 beta=90.00 gamma=90.00
With the nearest neighbours (Å) after each atom.
Space group F-43m (No. 216)
Asymmetric unit:
Lu  0.0000  0.0000  0.0000 (multiplicity 4)  4 Tl 3.00, 4 Au 3.00
Tl  0.2500  0.2500  0.7500 (multiplicity 4)  4 Au 3.00, 4 Lu 3.00
Au  0.0000  0.0000  0.5000 (multiplicity 4)  4 Au 3.00, 4 Tl 3.00
Au  0.2500  0.2500  0.2500 (multiplicity 4)  4 Lu 3.00, 4 Au 3.00

Output
For the total DFT energy (no corrections), the calculation gives -60.00 eV/cell.